Record 1
Below is crystalline Pm8PrY4 at its relaxed geometry, with properties calculated at the GGA-PBE level.

a = 11.2786 Å, b = 11.2785 Å, c = 7.9208 Å
α = 90.00°, β = 135.39°, γ = 120.00°
Sites, in units of the cell vectors:
Pm 0.5236 0.7618 0.2854
Pm 0.4764 0.2382 0.7146
Pm 0.4732 0.2366 0.2283
Pm 0.0083 0.2449 0.7717
Pm 0.5268 0.7634 0.7717
Pm 0.0083 0.7634 0.7717
Pm 0.9917 0.2366 0.2283
Pm 0.9917 0.7551 0.2283
Pr 0.0000 0.5000 0.5000
Y 0.0000 0.0000 0.0000
Y 0.0000 0.5000 0.0000
Y 0.5000 0.5000 0.0000
Y 0.5000 0.0000 0.0000

Calculated values
DOS(E_F)   22.99 states/eV/cell
Space-group type   R-3m
Energy   -62.158 eV/cell
DFT formation energy   499 meV per atom
Calculated volume   496.8 Å³/f.u.

Record 2
Below is crystalline Pm2PrY6 at its relaxed geometry, with properties calculated at the GGA-PBE level.

a = 6.1086 Å, b = 10.2162 Å, c = 10.2162 Å
α = 70.10°, β = 84.12°, γ = 84.12°
Sites, in units of the cell vectors:
Pm 0.4144 0.5632 0.7695
Pm 0.0856 0.2305 0.4368
Pm 0.5856 0.4368 0.2305
Pm 0.9144 0.7695 0.5632
Pr 0.2500 0.1055 0.8945
Pr 0.7500 0.8945 0.1055
Y 0.4808 0.6829 0.4159
Y 0.0192 0.5841 0.3171
Y 0.5192 0.3171 0.5841
Y 0.9808 0.4159 0.6829
Y 0.6516 0.0812 0.3537
Y 0.8484 0.6463 0.9188
Y 0.3484 0.9188 0.6463
Y 0.1516 0.3537 0.0812
Y 0.3133 0.7475 0.0144
Y 0.1867 0.9856 0.2525
Y 0.6867 0.2525 0.9856
Y 0.8133 0.0144 0.7475

Calculated values
DOS(E_F)   27.89 states/eV/cell
Space-group type   C2/c
Energy   -104.399 eV/cell
DFT formation energy   96 meV per atom
ΔE to the lowest computed polymorph   0.00 eV/f.u.
Calculated volume   297.4 Å³/f.u.

Record 3
Below is crystalline Pm2PrY at its relaxed geometry, with properties calculated at the GGA-PBE level.

a = 4.2981 Å, b = 4.2981 Å, c = 7.4556 Å
α = 90.00°, β = 90.00°, γ = 90.00°
Sites, in units of the cell vectors:
Pr 0.5000 0.5000 0.5000
Y 0.5000 0.5000 0.0000
Pm 0.0000 0.0000 0.7547
Pm 0.0000 0.0000 0.2453

Calculated values
DOS(E_F)   9.10 states/eV/cell
Space-group type   P4/mmm
Energy   -20.296 eV/cell
DFT formation energy   112 meV per atom
ΔE to the lowest computed polymorph   0.41 eV/f.u.
Calculated volume   137.7 Å³/f.u.

Record 4
Below is crystalline PmPr2Y2 at its relaxed geometry, with properties calculated at the GGA-PBE level.

a = 6.6033 Å, b = 6.6033 Å, c = 11.9555 Å
α = 95.33°, β = 95.33°, γ = 131.57°
Sites, in units of the cell vectors:
Pm 0.7500 0.2500 0.5000
Pm 0.5000 0.5000 0.0000
Pr 0.1250 0.3750 0.7500
Pr 0.6250 0.3750 0.2500
Pr 0.6250 0.3750 0.7500
Pr 0.6250 0.8750 0.2500
Y 0.4196 0.5804 0.5000
Y 0.1696 0.8304 0.0000
Y 0.0804 0.9196 0.5000
Y 0.8304 0.1696 0.0000

Calculated values
DOS(E_F)   16.53 states/eV/cell
Space-group type   Fddd
Energy   -50.061 eV/cell
DFT formation energy   441 meV per atom
ΔE to the lowest computed polymorph   2.20 eV/f.u.
Calculated volume   189.9 Å³/f.u.